First-principles (GGA-PBE) data for Dy2Si3Ni12Pd after structural relaxation, as listed in Alexandria.

The structure belongs to space group R-3m (No. 166, hexagonal axes); the cell edges are 8.5103, 8.5103 and 11.7098 Å and the angles 90.00°, 90.00° and 120.00°. The asymmetric unit holds Dy at (0.0000, 0.0000, 0.1640), Si at (0.0000, 0.5000, 0.0000), Ni at (0.0015, 0.5008, 0.1917), Ni at (0.0072, 0.5036, 0.3911) and Pd at (0.0000, 0.0000, 0.5000).

As for the formation energy (no corrections): -118 meV/atom. The density of states at the Fermi level is 38.52 states/eV per cell. The calculated density comes out at 8.275 Mg/m³.

First-principles (GGA-PBE) data for SmDyNiPd after structural relaxation, as listed in Alexandria.

The structure belongs to space group Amm2 (No. 38); the cell edges are 4.4292, 3.8171 and 10.4020 Å and the angles 90.00°, 90.00° and 90.00°. The asymmetric unit holds Sm at (0.0000, 0.0000, 0.0000), Dy at (0.5000, 0.0000, 0.7218), Ni at (0.0000, 0.0000, 0.2772) and Pd at (0.5000, 0.0000, 0.4361).

For the formation energy, the calculation gives -0.628 eV/atom. The density of states at the Fermi level is 5.09 states/eV per cell. The calculated density comes out at 9.026 Mg/m³.

Summary of spin magnetization in μB/f.u.
0.00 0.00
(order as listed above)